Entry 1:
Below is an optimized crystal structure of BaTe2Ir, with properties calculated at the PBE level.

Properties
Formation energy from raw total energies, meV per atom: -653
Calculated volume, Å³ per atom: 30.9
Crystal system: orthorhombic
Energy above the lowest structure with this stoichiometry, eV per atom: 0.040

Cell and atoms, written as POSCAR:
```
BaTe2Ir
1.0
4.162 0.000 0.000
0.000 5.578 -0.020
0.000 1.711 5.318
Ba Te Ir
1 2 1
Direct
0.500 0.250 0.250 Ba
0.000 0.568 0.568 Te
0.000 0.932 0.932 Te
0.500 0.750 0.750 Ir
```

Entry 2:
Below is an optimized crystal structure of BaTe2Ir, with properties calculated at the PBE level.

Properties
Formation energy from raw total energies, meV per atom: 58
Calculated volume, Å³ per atom: 27.2
Crystal system: cubic
Energy above the lowest structure with this stoichiometry, eV per atom: 0.752

Cell and atoms, written as POSCAR:
```
BaTe2Ir
1.0
0.000 3.787 3.787
3.787 0.000 3.787
3.787 3.787 0.000
Te Ba Ir
2 1 1
Direct
0.250 0.250 0.250 Te
0.750 0.750 0.750 Te
0.000 0.000 0.000 Ba
0.500 0.500 0.500 Ir
```

Entry 3:
Below is an optimized crystal structure of BaTiTe2Ir, with properties calculated at the PBE level.

Properties
Formation energy from raw total energies, meV per atom: 1596
Calculated volume, Å³ per atom: 39.8
Crystal system: tetragonal

Cell and atoms, written as POSCAR:
```
BaTiTe2Ir
1.0
-0.645 -3.786 -4.885
4.863 0.967 -1.392
1.940 -4.788 3.454
Ir Te Ti Ba
1 2 1 1
Direct
0.000 0.500 0.000 Ir
0.000 0.000 0.500 Te
0.500 0.000 0.000 Te
0.500 0.500 0.500 Ti
0.000 0.000 0.000 Ba
```

Entry 4:
Below is an optimized crystal structure of BaTl2TeIr, with properties calculated at the PBE level.

Properties
Formation energy from raw total energies, meV per atom: -385
Calculated volume, Å³ per atom: 34.2
Crystal system: tetragonal

Cell and atoms, written as POSCAR:
```
BaTl2TeIr
1.0
5.274 0.000 0.000
0.000 5.274 0.000
0.000 0.000 6.146
Tl Te Ba Ir
2 1 1 1
Direct
0.500 0.000 0.000 Tl
0.000 0.500 0.000 Tl
0.500 0.500 0.500 Te
0.000 0.000 0.500 Ba
0.000 0.000 0.000 Ir
```

Entry 5:
Below is an optimized crystal structure of Ba2TlTeIr, with properties calculated at the PBE level.

Properties
Formation energy from raw total energies, meV per atom: -651
Calculated volume, Å³ per atom: 37.9
Crystal system: tetragonal

Cell and atoms, written as POSCAR:
```
Ba2TlTeIr
1.0
-1.984 -4.543 -3.413
0.362 -3.709 4.726
-4.933 1.177 1.301
Ba Te Ir Tl
2 1 1 1
Direct
0.500 0.000 0.000 Ba
0.000 0.500 0.000 Ba
0.500 0.500 0.500 Te
0.000 0.000 0.000 Ir
0.000 0.000 0.500 Tl
```

Entry 6:
Below is an optimized crystal structure of BaTeIrW2, with properties calculated at the PBE level.

Properties
Formation energy from raw total energies, meV per atom: 1697
Calculated volume, Å³ per atom: 26.0
Crystal system: tetragonal

Cell and atoms, written as POSCAR:
```
BaTeIrW2
1.0
-1.833 -3.357 3.364
-3.311 -1.604 -3.405
3.357 -3.467 -1.630
W Ir Te Ba
2 1 1 1
Direct
0.500 0.000 0.000 W
0.000 0.000 0.500 W
0.000 0.500 0.000 Ir
0.000 0.000 0.000 Te
0.500 0.500 0.500 Ba
```

Entry 7:
Below is an optimized crystal structure of Ba2ZnTeIr, with properties calculated at the PBE level.

Properties
Formation energy from raw total energies, meV per atom: -649
Calculated volume, Å³ per atom: 35.0
Crystal system: tetragonal

Cell and atoms, written as POSCAR:
```
Ba2ZnTeIr
1.0
6.013 0.000 0.000
0.000 6.013 0.000
0.000 0.000 4.843
Ba Zn Ir Te
2 1 1 1
Direct
0.000 0.500 0.000 Ba
0.500 0.000 0.000 Ba
0.000 0.000 0.500 Zn
0.000 0.000 0.000 Ir
0.500 0.500 0.500 Te
```

Entry 8:
Below is an optimized crystal structure of BaThIr4, with properties calculated at the PBE level.

Properties
Formation energy from the elements, eV per atom: -0.424
Calculated volume, Å³ per atom: 19.8
Crystal system: cubic

Cell and atoms, written as POSCAR:
```
BaThIr4
1.0
5.514 0.000 0.000
2.757 4.775 0.000
2.757 1.592 4.502
Th Ir Ba
1 4 1
Direct
0.000 0.000 0.000 Th
0.625 0.625 0.124 Ir
0.625 0.625 0.625 Ir
0.625 0.124 0.625 Ir
0.124 0.625 0.625 Ir
0.250 0.250 0.250 Ba
```

Entry 9:
Below is an optimized crystal structure of BaTi2Ir, with properties calculated at the PBE level.

Properties
Formation energy from the elements, eV per atom: 0.466
Calculated volume, Å³ per atom: 28.7
Crystal system: tetragonal
Energy above the lowest structure with this stoichiometry, eV per atom: 0.088

Cell and atoms, written as POSCAR:
```
BaTi2Ir
1.0
-1.866 -2.105 -4.308
1.966 -4.552 1.372
-7.320 -5.265 2.671
Ti Ba Ir
4 2 2
Direct
0.375 0.125 0.750 Ti
0.875 0.125 0.750 Ti
0.875 0.625 0.250 Ti
0.875 0.125 0.250 Ti
0.500 0.500 0.000 Ba
0.250 0.750 0.500 Ba
0.750 0.250 0.500 Ir
0.000 0.000 0.000 Ir
```

Entry 10:
Below is an optimized crystal structure of BaTi2Ir, with properties calculated at the PBE level.

Properties
Formation energy from the elements, eV per atom: 0.378
Calculated volume, Å³ per atom: 19.3
Crystal system: cubic
Energy above the lowest structure with this stoichiometry, eV per atom: 0.000

Cell and atoms, written as POSCAR:
```
BaTi2Ir
1.0
0.000 3.381 3.381
3.381 0.000 3.381
3.381 3.381 0.000
Ti Ir Ba
2 1 1
Direct
0.250 0.250 0.250 Ti
0.750 0.750 0.750 Ti
0.500 0.500 0.500 Ir
0.000 0.000 0.000 Ba
```

Entry 11:
Below is an optimized crystal structure of BaTi3Ir, with properties calculated at the PBE level.

Properties
Formation energy from the elements, eV per atom: 0.204
Calculated volume, Å³ per atom: 24.3
Crystal system: cubic
Energy above the lowest structure with this stoichiometry, eV per atom: 0.000

Cell and atoms, written as POSCAR:
```
BaTi3Ir
1.0
-2.635 -0.156 -4.194
4.138 -0.925 -2.565
-0.702 -4.866 0.622
Ti Ba Ir
3 1 1
Direct
0.000 0.000 0.500 Ti
0.500 0.000 0.000 Ti
0.000 0.500 0.000 Ti
0.500 0.500 0.500 Ba
0.000 0.000 0.000 Ir
```

Entry 12:
Below is an optimized crystal structure of Ba2TiIr2, with properties calculated at the PBE level.

Properties
Formation energy from the elements, eV per atom: 0.024
Calculated volume, Å³ per atom: 25.2
Crystal system: tetragonal

Cell and atoms, written as POSCAR:
```
Ba2TiIr2
1.0
-0.013 -6.433 -2.312
2.611 2.132 -5.947
4.993 -0.707 1.939
Ti Ir Ba
2 4 4
Direct
0.000 0.000 0.000 Ti
0.500 0.500 0.000 Ti
0.368 0.868 0.000 Ir
0.632 0.132 0.000 Ir
0.868 0.632 0.000 Ir
0.132 0.368 0.000 Ir
0.822 0.322 0.500 Ba
0.178 0.678 0.500 Ba
0.678 0.822 0.500 Ba
0.322 0.178 0.500 Ba
```